Density functional theory data (PBE) for a relaxed IrAuIN2 crystal.

Properties
The value obtained for the total moment is 0.35 μB/cell. For the volume, the calculation gives 128.6 Å³ per cell. The total energy comes out at -5.194 eV/atom. As for the uncorrected formation energy: 4.4 eV per formula unit. The density of states at the Fermi level is 1.77 states/eV/cell. Its space group is No. 123.

abc: 3.814 3.814 8.845
angles: 90.00 90.00 90.00
Element x y z (fractional)
N (0.000, 0.500, 0.000)
N (0.500, 0.000, 0.000)
Ir (0.000, 0.000, 0.000)
Au (0.500, 0.500, 0.500)
I (0.000, 0.000, 0.500)



Density functional theory data (PBE) for a relaxed Cs3GaPb crystal.

Properties
The energy of formation is 5 meV/atom. The value obtained for the total moment is 0.61 μB/cell. For the volume, the calculation gives 578.7 Å³ per cell. The total energy comes out at -1.855 eV/atom. The density of states at the Fermi level is 8.23 states/eV/cell. Its space group is No. 12.

abc: 9.406 9.406 8.935
angles: 110.07 118.08 103.11
Element x y z (fractional)
Cs (0.825, 0.040, 0.254)
Cs (0.175, 0.960, 0.746)
Cs (0.292, 0.552, 0.844)
Cs (0.708, 0.448, 0.156)
Cs (0.214, 0.428, 0.254)
Cs (0.786, 0.572, 0.746)
Ga (0.626, 0.805, 0.431)
Ga (0.374, 0.195, 0.569)
Pb (0.657, 0.069, 0.726)
Pb (0.343, 0.931, 0.274)



Density functional theory data (PBE) for a relaxed Ba3CaTa crystal.

Properties
The energy of formation is 799 meV/atom. The value obtained for the total moment is 0.00 μB/cell. For the volume, the calculation gives 251.2 Å³ per cell. The total energy comes out at -3.126 eV/atom. The density of states at the Fermi level is 4.89 states/eV/cell. Its space group is No. 221.

abc: 6.310 6.310 6.310
angles: 90.00 90.00 90.00
Element x y z (fractional)
Ba (0.000, 0.500, 0.000)
Ba (0.000, 0.000, 0.500)
Ba (0.500, 0.000, 0.000)
Ta (0.000, 0.000, 0.000)
Ca (0.500, 0.500, 0.500)



Density functional theory data (PBE) for a relaxed DyNbGa4 crystal.

Properties
The energy of formation is -305 meV/atom. The value obtained for the total moment is 0.00 μB/cell. For the volume, the calculation gives 110.0 Å³ per cell. The total energy comes out at -4.769 eV/atom. The density of states at the Fermi level is 1.92 states/eV/cell. Its space group is No. 71.

abc: 4.155 5.550 5.550
angles: 81.28 68.01 68.01
Element x y z (fractional)
Nb (0.500, 0.500, 0.500)
Ga (0.246, 0.419, 0.089)
Ga (0.754, 0.581, 0.911)
Ga (0.246, 0.089, 0.419)
Ga (0.754, 0.911, 0.581)
Dy (0.000, 0.000, 0.000)



Density functional theory data (PBE) for a relaxed CeLu2Te crystal.

Properties
The value obtained for the total moment is 0.56 μB/cell. For the volume, the calculation gives 111.6 Å³ per cell. The total energy comes out at -5.004 eV/atom. As for the uncorrected formation energy: -1.9 eV per formula unit. The density of states at the Fermi level is 6.10 states/eV/cell. Its space group is No. 123.

abc: 3.772 3.772 7.843
angles: 90.00 90.00 90.00
Element x y z (fractional)
Ce (0.500, 0.500, 0.500)
Lu (0.000, 0.000, 0.226)
Lu (0.000, 0.000, 0.774)
Te (0.500, 0.500, 0.000)



Density functional theory data (PBE) for a relaxed K2LaVCd crystal.

Properties
The energy of formation is 1079 meV/atom. The value obtained for the total moment is 2.33 μB/cell. For the volume, the calculation gives 232.8 Å³ per cell. The total energy comes out at -2.352 eV/atom. The density of states at the Fermi level is 4.61 states/eV/cell. Its space group is No. 123.

abc: 6.994 6.994 4.759
angles: 90.00 90.00 90.00
Element x y z (fractional)
K (0.000, 0.500, 0.000)
K (0.500, 0.000, 0.000)
V (0.000, 0.000, 0.500)
Cd (0.500, 0.500, 0.500)
La (0.000, 0.000, 0.000)



Density functional theory data (PBE) for a relaxed YNbBi2 crystal.

Properties
The energy of formation is 148 meV/atom. The value obtained for the total moment is 0.00 μB/cell. For the volume, the calculation gives 116.0 Å³ per cell. The total energy comes out at -5.926 eV/atom. The density of states at the Fermi level is 3.27 states/eV/cell. Its space group is No. 166.

abc: 3.555 3.555 10.794
angles: 80.52 80.52 60.00
Element x y z (fractional)
Nb (0.500, 0.500, 0.500)
Bi (0.100, 0.100, 0.699)
Bi (0.900, 0.900, 0.301)
Y (0.000, 0.000, 0.000)



Density functional theory data (PBE) for a relaxed MoIrPt crystal.

Properties
The energy of formation is -280 meV/atom. The value obtained for the total moment is 0.00 μB/cell. For the volume, the calculation gives 45.7 Å³ per cell. The total energy comes out at -8.857 eV/atom. The density of states at the Fermi level is 1.69 states/eV/cell. Its space group is No. 107.

abc: 6.275 6.275 2.768
angles: 77.26 77.26 25.48
Element x y z (fractional)
Mo (0.663, 0.663, 0.337)
Pt (0.330, 0.330, 0.670)
Ir (0.008, 0.008, 0.992)



The highest total moment belongs to which entry? K2LaVCd



Which value of total moment does entry 1 give? 0.35 μB/cell



Please write out number 3 again, unchanged.
Density functional theory data (PBE) for a relaxed Ba3CaTa crystal.

Properties
The energy of formation is 799 meV/atom. The value obtained for the total moment is 0.00 μB/cell. For the volume, the calculation gives 251.2 Å³ per cell. The total energy comes out at -3.126 eV/atom. The density of states at the Fermi level is 4.89 states/eV/cell. Its space group is No. 221.

abc: 6.310 6.310 6.310
angles: 90.00 90.00 90.00
Element x y z (fractional)
Ba (0.000, 0.500, 0.000)
Ba (0.000, 0.000, 0.500)
Ba (0.500, 0.000, 0.000)
Ta (0.000, 0.000, 0.000)
Ca (0.500, 0.500, 0.500)